The following is a DFT calculation (PBE) of an optimized crystal structure of SrNd5Mg6.

Cell and atoms, written as POSCAR:
```
SrNd5Mg6
1.0
-4.5251 0.1689 -3.2135
3.4063 -4.9764 -5.0581
-2.6517 -4.0456 8.3185
Sr Mg Nd
1 6 5
Cartesian
0.0000 0.0000 0.0000
-3.5550 -5.3877 -0.0747
-5.2130 -2.9651 2.3880
0.2387 -3.5711 -5.3231
-1.3574 -1.2364 -2.9485
1.4425 -5.8880 -2.3411
-0.2155 -3.4653 0.1216
-3.3220 -2.0434 -0.2267
-2.1259 -4.2698 2.7692
1.7031 -2.4882 -2.5291
-1.6446 -4.5832 -2.7223
-0.4485 -6.8097 0.2736
```

Output
As for the formation energy: -0.085 eV/atom. The value obtained for the total magnetization is 0.000 μB per cell. The calculation puts the total energy at -3.009 eV/atom. The calculation puts the calculated volume at 30.3 A^3/atom.